VASP calculation (PBE) on a relaxed GdYAl2Pt4 crystal.

a = 4.3536 Å, b = 4.3536 Å, c = 9.2850 Å
α = 90.00°, β = 90.00°, γ = 120.00°
Space group P-6m2 (No. 187)
Unique sites:
Gd1 0.0000 0.0000 0.0000 [1 per cell]
Y1 0.3333 0.6667 0.5000 [1 per cell]
Al1 0.6667 0.3333 0.2501 [2 per cell]
Pt1 0.0000 0.0000 0.3321 [2 per cell]
Pt2 0.3333 0.6667 0.1681 [2 per cell]

=====

VASP calculation (PBE) on a relaxed Tm2ScIn3IrAu2 crystal.

a = 3.829 Å, b = 13.220 Å, c = 7.653 Å
α = 90.00°, β = 90.00°, γ = 90.00°
Space group Amm2 (No. 38)
Unique sites:
Tm1 0.000 0.197 0.000 [4 per cell]
Sc1 0.000 0.000 0.588 [2 per cell]
In1 0.500 0.000 0.934 [2 per cell]
In2 0.500 0.128 0.330 [4 per cell]
Ir1 0.000 0.000 0.197 [2 per cell]
Au1 0.500 0.165 0.696 [4 per cell]

=====

Record-wise total DFT energy (no corrections) values, in eV for the cell shown: -52.23 -90.30